# 1
Pm2Nd6Y3Mg | GGA-PBE | relaxed

Computed properties:
Uncorrected energy: -4.913 eV per atom
Spin magnetization: 0.000 μB/f.u.
Density of states at the Fermi level: 26.416 states/eV/cell
Calculated formation energy: 0.01 eV/atom

Unit cell a=6.2716 b=10.8708 c=11.9175 alpha=90.00 beta=100.13 gamma=90.00
With the nearest neighbours (Å) after each atom.
Space group C2/m (No. 12)
Inequivalent atoms, fractional coordinates:
Pm (0.0000, 0.1669, 0.0000) x4  6 Nd 3.61-3.62, 3 Pm 3.62-3.63, 3 Mg 3.62
Nd (0.2483, 0.3344, 0.2503) x8  3 Y 3.59-3.61, 1 Mg 3.60, 6 Nd 3.60-3.64, 2 Pm 3.61
Nd (0.2486, 0.5000, 0.7488) x4  3 Y 3.58-3.59, 6 Nd 3.60-3.64, 1 Mg 3.61, 2 Pm 3.62
Y (0.0000, 0.0000, 0.5000) x2  6 Nd 3.59-3.60, 6 Y 3.62-3.63
Y (0.0000, 0.3340, 0.5000) x4  6 Nd 3.58-3.61, 6 Y 3.61-3.63
Mg (0.0000, 0.5000, 0.0000) x2  6 Nd 3.60-3.61, 6 Pm 3.62

# 2
CuTc2SbP | GGA-PBE | relaxed

Computed properties:
Uncorrected energy: -5.272 eV per atom
Spin magnetization: 5.834 μB/f.u.
Density of states at the Fermi level: 5.300 states/eV/cell
Formation energy (no corrections): 1.6005 eV per atom

Unit cell a=4.7715 b=4.7715 c=4.5844 alpha=90.00 beta=90.00 gamma=90.00
With the nearest neighbours (Å) after each atom.
Space group P4/mmm (No. 123)
Inequivalent atoms, fractional coordinates:
Cu (0.0000, 0.0000, 0.0000) x1  2 Sb 2.29, 4 Tc 2.39
Tc (0.0000, 0.5000, 0.0000) x2  2 Cu 2.39
Sb (0.0000, 0.0000, 0.5000) x1  2 Cu 2.29
P (0.5000, 0.5000, 0.5000) x1  8 Tc 3.31, 4 Sb 3.37

# 3
LaCuCl4 | GGA-PBE | relaxed

Computed properties:
Uncorrected energy: -3.036 eV per atom
Distance to the lowest polymorph of the same formula: 1.409 eV/atom
Spin magnetization: 1.853 μB/f.u.
Density of states at the Fermi level: 24.042 states/eV/cell
Formation energy (no corrections): -0.3011 eV per atom

Unit cell a=8.2513 b=8.2513 c=8.2513 alpha=90.00 beta=90.00 gamma=90.00
With the nearest neighbours (Å) after each atom.
Space group F-43m (No. 216)
Inequivalent atoms, fractional coordinates:
La (0.0000, 0.0000, 0.0000) x4  12 Cl 3.42, 4 Cu 3.57
Cu (0.2500, 0.2500, 0.2500) x4  12 Cl 3.42, 4 La 3.57
Cl (0.1248, 0.1248, 0.6248) x16  6 Cl 2.91-2.92

# 4
TePtIN2 | GGA-PBE | relaxed

Computed properties:
Uncorrected energy: -3.672 eV per atom
Distance to the lowest polymorph of the same formula: 0.461 eV/atom
Spin magnetization: 0.000 μB/f.u.
Density of states at the Fermi level: 5.945 states/eV/cell
Formation energy (no corrections): 1.8051 eV per atom

Unit cell a=3.9128 b=3.9128 c=7.1046 alpha=90.00 beta=90.00 gamma=90.00
With the nearest neighbours (Å) after each atom.
Space group P4/mmm (No. 123)
Inequivalent atoms, fractional coordinates:
Te (0.0000, 0.0000, 0.0000) x1  4 Pt 2.77
Pt (0.5000, 0.5000, 0.0000) x1  4 Te 2.77
I (0.0000, 0.0000, 0.5000) x1  4 N 1.96
N (0.0000, 0.5000, 0.5000) x2  2 I 1.96

# 5
K2PrSb4Au3 | GGA-PBE | relaxed

Computed properties:
Uncorrected energy: -3.794 eV per atom
Spin magnetization: 0.000 μB/f.u.
Density of states at the Fermi level: 1.994 states/eV/cell
Formation energy (no corrections): -0.4645 eV per atom

Unit cell a=4.8608 b=4.8608 c=12.3813 alpha=90.00 beta=90.00 gamma=90.00
With the nearest neighbours (Å) after each atom.
Space group P-4m2 (No. 115)
Inequivalent atoms, fractional coordinates:
K (0.0000, 0.5000, 0.2385) x2  8 Sb 3.70-3.82, 6 Au 3.72-4.05, 2 Pr 4.05
Pr (0.0000, 0.0000, 0.5000) x1  4 Sb 3.07
Sb (0.0000, 0.0000, 0.0000) x1  4 Au 2.87
Sb (0.0000, 0.5000, 0.6512) x2  3 Au 2.79-3.07, 2 Pr 3.07
Sb (0.5000, 0.5000, 0.0000) x1  4 Au 2.87
Au (0.0000, 0.5000, 0.8763) x2  5 Sb 2.79-2.87
Au (0.5000, 0.5000, 0.5000) x1  4 Sb 3.07

# 6
Tb6TmHg2 | GGA-PBE | relaxed

Computed properties:
Uncorrected energy: -3.860 eV per atom
Spin magnetization: 0.000 μB/f.u.
Density of states at the Fermi level: 17.945 states/eV/cell
Calculated formation energy: -0.21 eV/atom

Unit cell a=12.5867 b=3.7274 c=11.8407 alpha=90.00 beta=108.84 gamma=90.00
With the nearest neighbours (Å) after each atom.
Space group C2/m (No. 12)
Inequivalent atoms, fractional coordinates:
Tb (0.0178, 0.0000, 0.3372) x4  2 Hg 3.18, 5 Tb 3.51-3.54
Tb (0.1875, 0.5000, 0.8768) x4  2 Hg 3.20, 5 Tb 3.39-3.51
Tb (0.1889, 0.5000, 0.5871) x4  2 Hg 3.31, 8 Tb 3.44-3.57
Tm (0.0000, 0.0000, 0.0000) x2  4 Hg 3.08
Hg (0.1404, 0.5000, 0.1998) x4  2 Tm 3.08, 6 Tb 3.18-3.31

Q: The highest uncorrected energy belongs to which entry?
A: LaCuCl4